Entry 1:
Material: Re2Ag2O5
Method: DFT, PBE
State: optimized geometry

Properties
Calculated total energy in eV/atom: -6.771

Unit cell a=7.5086 b=3.8496 c=3.8496 alpha=90.00 beta=90.00 gamma=90.00
Last column: magnetic moment on the atom in μB.
Atoms (fractional coordinates):
O: 0.7785 0.0000 0.5000  0.00
O: 0.2215 0.5000 0.0000  0.00
O: 0.2215 0.0000 0.5000  0.00
O: 0.5000 0.5000 0.5000  0.03
O: 0.7785 0.5000 0.0000  0.00
Re: 0.7781 0.5000 0.5000  0.07
Re: 0.2219 0.5000 0.5000  0.07
Ag: 0.5000 0.0000 0.0000  0.00
Ag: 0.0000 0.0000 0.0000  0.00


Entry 2:
Material: ReAgO3
Method: DFT, PBE
State: optimized geometry

Properties
Calculated total energy in eV/atom: -6.979

Unit cell a=3.8714 b=3.8714 c=3.8945 alpha=90.00 beta=90.00 gamma=90.00
Atoms (fractional coordinates):
O: 0.5000 0.0000 0.5814
O: 0.5000 0.5000 0.0818
O: 0.0000 0.5000 0.5814
Ag: 0.0000 0.0000 0.0742
Re: 0.5000 0.5000 0.5812


Please write out number 1 again, unchanged.
Material: Re2Ag2O5
Method: DFT, PBE
State: optimized geometry

Properties
Calculated total energy in eV/atom: -6.771

Unit cell a=7.5086 b=3.8496 c=3.8496 alpha=90.00 beta=90.00 gamma=90.00
Last column: magnetic moment on the atom in μB.
Atoms (fractional coordinates):
O: 0.7785 0.0000 0.5000  0.00
O: 0.2215 0.5000 0.0000  0.00
O: 0.2215 0.0000 0.5000  0.00
O: 0.5000 0.5000 0.5000  0.03
O: 0.7785 0.5000 0.0000  0.00
Re: 0.7781 0.5000 0.5000  0.07
Re: 0.2219 0.5000 0.5000  0.07
Ag: 0.5000 0.0000 0.0000  0.00
Ag: 0.0000 0.0000 0.0000  0.00


Question: What is the calculated total energy in the first record?
Answer: -6.771 eV/atom